First-principles (GGA+U) data for a relaxed structure of MgNiP2O, as listed in the Alexandria database.

a = 4.708 Å, b = 4.708 Å, c = 3.456 Å
α = 90.00°, β = 90.00°, γ = 90.00°
Space group P4/mmm (No. 123)
One atom of each set of equivalent atoms:
Mg 0.000 0.000 0.000 x1
Ni 0.500 0.500 0.500 x1
P 0.000 0.500 0.500 x2
O 0.500 0.500 0.000 x1

Summary:
Raw total energy = -18.8 eV per cell
ΔE to the lowest computed polymorph = 0 meV/atom